KMgNi: optimized geometry, GGA-PBE.

The structure belongs to space group F-43m (No. 216); the cell edges are 6.923, 6.923 and 6.923 Å and the angles 90.00°, 90.00° and 90.00°. The inequivalent atoms are K at (0.000, 0.000, 0.000), Mg at (0.000, 0.000, 0.500) and Ni at (0.250, 0.250, 0.250).

Its formation energy is 0.641 eV/atom. The total magnetic moment comes out at 0.0 μB per formula unit.